## YTaRh (GGA-PBE)

Data for a geometry-optimized YTaRh structure.

a b c (Å): 6.4566 6.4566 6.4566
angles (deg): 90.00 90.00 90.00
Space group F-43m (No. 216)
Unique sites:
Y 0.0000 0.0000 0.0000
Ta 0.2500 0.2500 0.2500
Rh 0.2500 0.2500 0.7500

Results
Theoretical density (Mg/m³): 9.20
Formation energy (kJ/mol of formula units): 328
Fermi-level density of states (states/eV per atom): 1.509
Relative energy among the computed polymorphs (eV per atom): 1.399
Calculated volume (Å³/atom): 22.4